# PBE SrMn2Al, optimized geometry
# E_form   486 meV per atom
# Theoretical density   4.4 Mg/m³
# Magnetization   0.32 μB per cell
# Density of states at the Fermi level   4.66 states/eV/cell
# SG   No. 10
# Total energy   -5.455 eV/atom
data_SrMn2Al
_space_group_name_H-M_alt 'P 1'
_space_group_IT_number 1
_cell_length_a 3.182
_cell_length_b 4.508
_cell_length_c 5.892
_cell_angle_alpha 90.00
_cell_angle_beta 96.95
_cell_angle_gamma 90.00
loop_
_space_group_symop_operation_xyz
'x,y,z'
loop_
_atom_site_label
_atom_site_type_symbol
_atom_site_fract_x
_atom_site_fract_y
_atom_site_fract_z
Sr1 Sr 0.000 0.000 0.000
Mn1 Mn 0.281 0.500 0.615
Mn2 Mn 0.719 0.500 0.385
Al1 Al 0.500 0.000 0.500

# PBE Sr2MnAl, optimized geometry
# E_form   206 meV per atom
# Theoretical density   3.5 Mg/m³
# Magnetization   3.64 μB per cell
# Density of states at the Fermi level   3.66 states/eV/cell
# SG   No. 44
# Total energy   -3.863 eV/atom
data_Sr2MnAl
_space_group_name_H-M_alt 'P 1'
_space_group_IT_number 1
_cell_length_a 6.592
_cell_length_b 6.592
_cell_length_c 6.592
_cell_angle_alpha 145.95
_cell_angle_beta 130.39
_cell_angle_gamma 61.54
loop_
_space_group_symop_operation_xyz
'x,y,z'
loop_
_atom_site_label
_atom_site_type_symbol
_atom_site_fract_x
_atom_site_fract_y
_atom_site_fract_z
Sr1 Sr 0.000 0.000 0.000
Sr2 Sr 0.705 0.205 0.500
Mn1 Mn 0.422 0.422 0.000
Al1 Al 0.267 0.767 0.500

# PBE SrMn2Al, optimized geometry
# E_form   362 meV per atom
# Theoretical density   4.5 Mg/m³
# Magnetization   7.38 μB per cell
# Density of states at the Fermi level   3.10 states/eV/cell
# SG   No. 123
# Total energy   -5.579 eV/atom
data_SrMn2Al
_space_group_name_H-M_alt 'P 1'
_space_group_IT_number 1
_cell_length_a 3.309
_cell_length_b 3.309
_cell_length_c 7.651
_cell_angle_alpha 90.00
_cell_angle_beta 90.00
_cell_angle_gamma 90.00
loop_
_space_group_symop_operation_xyz
'x,y,z'
loop_
_atom_site_label
_atom_site_type_symbol
_atom_site_fract_x
_atom_site_fract_y
_atom_site_fract_z
Sr1 Sr 0.000 0.000 0.000
Mn1 Mn 0.500 0.500 0.325
Mn2 Mn 0.500 0.500 0.675
Al1 Al 0.000 0.000 0.500

# PBE SrMn2Al, optimized geometry
# E_form   572 meV per atom
# Theoretical density   4.3 Mg/m³
# Magnetization   7.52 μB per cell
# Density of states at the Fermi level   4.15 states/eV/cell
# SG   No. 123
# Total energy   -5.369 eV/atom
data_SrMn2Al
_space_group_name_H-M_alt 'P 1'
_space_group_IT_number 1
_cell_length_a 4.547
_cell_length_b 4.547
_cell_length_c 4.217
_cell_angle_alpha 90.00
_cell_angle_beta 90.00
_cell_angle_gamma 90.00
loop_
_space_group_symop_operation_xyz
'x,y,z'
loop_
_atom_site_label
_atom_site_type_symbol
_atom_site_fract_x
_atom_site_fract_y
_atom_site_fract_z
Sr1 Sr 0.000 0.000 0.000
Mn1 Mn 0.000 0.500 0.500
Mn2 Mn 0.500 0.000 0.500
Al1 Al 0.500 0.500 0.000

# PBE Sr4MnAl, optimized geometry
# E_form   824 meV per atom
# Theoretical density   2.9 Mg/m³
# Magnetization   3.71 μB per cell
# Density of states at the Fermi level   8.09 states/eV/cell
# SG   No. 216
# Total energy   -2.450 eV/atom
data_Sr4MnAl
_space_group_name_H-M_alt 'P 1'
_space_group_IT_number 1
_cell_length_a 7.029
_cell_length_b 7.029
_cell_length_c 7.029
_cell_angle_alpha 60.00
_cell_angle_beta 60.00
_cell_angle_gamma 60.00
loop_
_space_group_symop_operation_xyz
'x,y,z'
loop_
_atom_site_label
_atom_site_type_symbol
_atom_site_fract_x
_atom_site_fract_y
_atom_site_fract_z
Sr1 Sr 0.125 0.125 0.125
Sr2 Sr 0.125 0.125 0.625
Sr3 Sr 0.125 0.625 0.125
Sr4 Sr 0.625 0.125 0.125
Mn1 Mn 0.500 0.500 0.500
Al1 Al 0.750 0.750 0.750

# PBE Sr2MnAl, optimized geometry
# E_form   509 meV per atom
# Theoretical density   3.2 Mg/m³
# Magnetization   3.85 μB per cell
# Density of states at the Fermi level   3.73 states/eV/cell
# SG   No. 166
# Total energy   -3.560 eV/atom
data_Sr2MnAl
_space_group_name_H-M_alt 'P 1'
_space_group_IT_number 1
_cell_length_a 10.381
_cell_length_b 10.381
_cell_length_c 10.381
_cell_angle_alpha 21.49
_cell_angle_beta 21.49
_cell_angle_gamma 21.49
loop_
_space_group_symop_operation_xyz
'x,y,z'
loop_
_atom_site_label
_atom_site_type_symbol
_atom_site_fract_x
_atom_site_fract_y
_atom_site_fract_z
Sr1 Sr 0.249 0.249 0.249
Sr2 Sr 0.751 0.751 0.751
Mn1 Mn 0.500 0.500 0.500
Al1 Al 0.000 0.000 0.000

# PBE SrMn2Al, optimized geometry
# E_form   527 meV per atom
# Theoretical density   4.3 Mg/m³
# Magnetization   7.24 μB per cell
# Density of states at the Fermi level   3.14 states/eV/cell
# SG   No. 71
# Total energy   -5.414 eV/atom
data_SrMn2Al
_space_group_name_H-M_alt 'P 1'
_space_group_IT_number 1
_cell_length_a 5.829
_cell_length_b 5.829
_cell_length_c 5.829
_cell_angle_alpha 147.46
_cell_angle_beta 125.41
_cell_angle_gamma 65.01
loop_
_space_group_symop_operation_xyz
'x,y,z'
loop_
_atom_site_label
_atom_site_type_symbol
_atom_site_fract_x
_atom_site_fract_y
_atom_site_fract_z
Sr1 Sr 0.000 0.000 0.000
Mn1 Mn 0.288 0.788 0.500
Mn2 Mn 0.712 0.212 0.500
Al1 Al 0.500 0.500 0.000

# PBE Sr2MnAl, optimized geometry
# E_form   110 meV per atom
# Theoretical density   3.0 Mg/m³
# Magnetization   3.15 μB per cell
# Density of states at the Fermi level   3.87 states/eV/cell
# SG   No. 160
# Total energy   -3.959 eV/atom
data_Sr2MnAl
_space_group_name_H-M_alt 'P 1'
_space_group_IT_number 1
_cell_length_a 8.373
_cell_length_b 8.373
_cell_length_c 8.373
_cell_angle_alpha 31.49
_cell_angle_beta 31.49
_cell_angle_gamma 31.49
loop_
_space_group_symop_operation_xyz
'x,y,z'
loop_
_atom_site_label
_atom_site_type_symbol
_atom_site_fract_x
_atom_site_fract_y
_atom_site_fract_z
Sr1 Sr 0.000 0.000 0.000
Sr2 Sr 0.179 0.179 0.179
Mn1 Mn 0.756 0.756 0.756
Al1 Al 0.422 0.422 0.422

Look up the magnetization of the seventh one.
7.24 μB per cell